VASP calculation (SCAN) on a crystal of ZrTaTe relaxed with PBEsol.

Cell: 3.474 3.474 6.280 Å, 90.00 90.00 120.00°
Fractional coordinates of all 3 atoms:
Zr 0.667 0.333 0.324
Te 0.333 0.667 0.679
Ta 0.000 0.000 0.997

- ΔE to the lowest computed polymorph (meV per atom) = 105.3
- size of the total moment (Bohr magnetons per cell) = 0.0